## USiSn (PBE-GGA)

Data for a relaxed USiSn crystal. Values from VASP.

```
&SYSTEM
  ibrav = 0, nat = 12, ntyp = 3
/
ATOMIC_SPECIES
U 238.03 U.upf
Si 28.09 Si.upf
Sn 118.71 Sn.upf
CELL_PARAMETERS angstrom
6.846 0.000 0.000
0.000 6.846 0.000
0.000 0.000 6.846
ATOMIC_POSITIONS angstrom
U 0.000 0.000 0.000
U 0.000 3.423 3.423
U 3.423 0.000 3.423
U 3.423 3.423 0.000
Si 1.712 1.712 5.135
Si 1.712 5.135 1.712
Si 5.135 1.712 1.712
Si 5.135 5.135 5.135
Sn 1.712 1.712 1.712
Sn 1.712 5.135 5.135
Sn 5.135 1.712 5.135
Sn 5.135 5.135 1.712
```

Output
Mass density: 7.97 g/cm³
VASP energy: -77.1 eV/cell
Total magnetization: 1.885 μB per formula unit